Record 1
A relaxed structure of Tb2Pm4PrY2, computed with PBE.

Summary:
volume = 604 Å³ per cell
DFT formation energy = 15.2 meV per atom
crystal system = monoclinic

Cell and atoms, written as CIF:
```
data_Tb2Pm4PrY2
_chemical_formula_sum 'Tb4 Pm8 Pr2 Y4'
_cell_length_a 15.372
_cell_length_b 5.113
_cell_length_c 8.093
_cell_angle_alpha 90.00
_cell_angle_beta 108.35
_cell_angle_gamma 90.00
_space_group_name_H-M_alt 'C 1 2/m 1'
_space_group_IT_number 12
loop_
_space_group_symop_operation_xyz
'x,y,z'
'-x,-y,-z'
'-x,y,-z'
'x,-y,z'
'x+1/2,y+1/2,z'
'-x+1/2,-y+1/2,-z'
'-x+1/2,y+1/2,-z'
'x+1/2,-y+1/2,z'
loop_
_atom_site_label
_atom_site_fract_x
_atom_site_fract_y
_atom_site_fract_z
Tb1 0.168 0.000 0.000
Pm1 0.055 0.000 0.333
Pm2 0.223 0.500 0.333
Pr1 0.000 0.500 0.000
Y1 0.112 0.500 0.667
```

***

Record 2
A relaxed structure of Pm4Ga2P, computed with PBE.

Summary:
volume = 426 Å³ per cell
DFT formation energy = -543.5 meV per atom
crystal system = tetragonal

Cell and atoms, written as CIF:
```
data_Pm4Ga2P
_chemical_formula_sum 'Pm8 Ga4 P2'
_cell_length_a 5.421
_cell_length_b 5.421
_cell_length_c 14.487
_cell_angle_alpha 90.00
_cell_angle_beta 90.00
_cell_angle_gamma 90.00
_space_group_name_H-M_alt 'I 4/m m m'
_space_group_IT_number 139
_space_group_name_Hall '-I 4 2'
loop_
_atom_site_label
_atom_site_fract_x
_atom_site_fract_y
_atom_site_fract_z
Pm1 0.000 0.000 0.189
Pm2 0.000 0.500 0.000
Ga1 0.000 0.000 0.392
P1 0.000 0.000 0.000
```